[1]
Computed, not measured: crystalline Ca2Dy2Tl7 at its relaxed geometry at the GGA-PBE level of DFT.

M_tot: 0.00 μB per formula unit
DFT formation energy: -0.046 eV/atom
Space group: No. 65
Theoretical density: 8.59 g cm⁻³

Cell lengths 6.943, 8.341, 6.943 Å; angles 90.01, 118.10, 89.99 degrees
Atoms (fractional coordinates):
Tl  0.000  0.686  0.500
Tl  0.500  0.186  0.500
Tl  0.500  0.686  0.000
Tl  0.500  0.314  0.000
Tl  0.000  0.314  0.500
Tl  0.500  0.814  0.500
Tl  0.000  0.000  0.000
Dy  0.737  0.000  0.263
Dy  0.263  0.000  0.737
Ca  0.754  0.500  0.754
Ca  0.246  0.500  0.246

---

[2]
Computed, not measured: crystalline HfZr3 at its relaxed geometry at the GGA-PBE level of DFT.

M_tot: 0.00 μB per formula unit
DFT formation energy: 0.102 eV/atom
Polymorph energy (0 for the lowest one): 0.103 eV per atom
Space group: No. 225
Theoretical density: 8.28 g cm⁻³

Cell lengths 5.042, 5.042, 5.042 Å; angles 60.00, 60.00, 60.00 degrees
Atoms (fractional coordinates):
Zr  0.250  0.250  0.250
Zr  0.000  0.000  0.000
Zr  0.750  0.750  0.750
Hf  0.500  0.500  0.500

---

- The highest DFT formation energy belongs to which entry?
  HfZr3

---

- Which formula does entry 2 have?
  HfZr3

---

- Which formula does entry 2 have?
  HfZr3